SnGe3P after structural relaxation. Source: the Alexandria database, functional GGA-PBE.

Lattice parameters (Å, degrees): 4.8665 4.8665 4.8665 90.00 90.00 90.00
Element x y z (fractional)
Sn: 0.0000 0.0000 0.0000
Ge: 0.0000 0.5000 0.5000
Ge: 0.5000 0.0000 0.5000
Ge: 0.5000 0.5000 0.0000
P: 0.5000 0.5000 0.5000

Output
Formation enthalpy at 0 K in eV per atom: 0.492
Space-group type: Pm-3m
Raw total energy in eV/cell: -20.80